1.
Crystalline Mg2IrW at its relaxed geometry. Source: Alexandria via LeMat-Bulk, functional PBE.

Properties
The calculation puts the energy relative to the elements at 0.74 eV/f.u. Its space group is No. 65. For the total energy, the calculation gives -24.27 eV per formula unit.

Structure (POSCAR):
```
Mg2IrW
1.0
2.6450 -4.4574 0.0000
2.6450 4.4574 0.0000
0.0000 0.0000 2.7973
Mg Ir W
2 1 1
Cartesian
1.3225 2.2287 0.0000 Mg
1.3225 -2.2287 0.0000 Mg
0.0000 0.0000 1.3986 Ir
2.6450 0.0000 1.3986 W
```



2.
Crystalline Fe3Ag at its relaxed geometry. Source: Alexandria via LeMat-Bulk, functional PBE.

Properties
The calculation puts the energy relative to the elements at 1.33 eV/f.u. Its space group is No. 71. For the total energy, the calculation gives -26.90 eV per formula unit.

Structure (POSCAR):
```
Fe3Ag
1.0
-1.5229 2.1242 4.1534
1.5229 -2.1242 4.1534
1.5229 2.1242 -4.1534
Fe Ag
3 1
Cartesian
0.0000 0.0000 0.0000 Fe
1.5229 0.0000 1.9565 Fe
0.0000 2.1242 2.1969 Fe
0.0000 0.0000 4.1534 Ag
```



3.
Crystalline Ti2TlPd9 at its relaxed geometry. Source: Alexandria via LeMat-Bulk, functional PBE.

Properties
The calculation puts the energy relative to the elements at -6.20 eV/f.u. Its space group is No. 123. For the total energy, the calculation gives -71.10 eV per formula unit.

Structure (POSCAR):
```
Ti2TlPd9
1.0
3.9766 0.0000 0.0000
0.0000 3.9766 0.0000
0.0000 0.0000 11.9773
Ti Tl Pd
2 1 9
Cartesian
0.0000 0.0000 1.9832 Ti
0.0000 0.0000 9.9941 Ti
0.0000 0.0000 5.9886 Tl
0.0000 1.9883 0.0000 Pd
0.0000 1.9883 3.8236 Pd
0.0000 1.9883 8.1537 Pd
1.9883 0.0000 0.0000 Pd
1.9883 0.0000 3.8236 Pd
1.9883 0.0000 8.1537 Pd
1.9883 1.9883 1.9216 Pd
1.9883 1.9883 5.9886 Pd
1.9883 1.9883 10.0557 Pd
```



4.
Crystalline Pm7Co2Au2 at its relaxed geometry. Source: Alexandria via LeMat-Bulk, functional PBE.

Properties
The calculation puts the energy relative to the elements at -2.59 eV/f.u. Its space group is No. 65. For the total energy, the calculation gives -56.61 eV per formula unit.

Structure (POSCAR):
```
Pm7Co2Au2
1.0
3.8789 -5.5917 0.0000
3.8789 5.5917 0.0000
0.0000 0.0000 7.0145
Pm Co Au
7 2 2
Cartesian
0.0000 0.0000 0.0000 Pm
1.9395 2.7959 1.7737 Pm
1.9395 2.7959 5.2408 Pm
1.9395 -2.7959 1.7737 Pm
1.9395 -2.7959 5.2408 Pm
3.8789 0.0000 1.7095 Pm
3.8789 0.0000 5.3050 Pm
3.8789 2.2659 0.0000 Co
3.8789 -2.2659 0.0000 Co
1.4053 0.0000 3.5072 Au
6.3525 0.0000 3.5072 Au
```



5.
Crystalline MgZn2Si at its relaxed geometry. Source: Alexandria via LeMat-Bulk, functional PBE.

Properties
The value obtained for the energy relative to the lowest polymorph listed for this composition is 0 meV/atom. The uncorrected formation energy is 0.0627 eV per atom. Its space group is No. 47. For the total energy, the calculation gives -9.31 eV per formula unit.

Structure (POSCAR):
```
MgZn2Si
1.0
2.8392 0.0000 0.0000
0.0000 4.5185 0.0000
0.0000 0.0000 5.2256
Mg Zn Si
1 2 1
Cartesian
0.0000 0.0000 0.0000 Mg
1.4196 2.2593 1.2746 Zn
1.4196 2.2593 3.9510 Zn
1.4196 0.0000 2.6128 Si
```



6.
Crystalline NbCrS4 at its relaxed geometry. Source: Alexandria via LeMat-Bulk, functional PBE.

Properties
The uncorrected formation energy is -0.7814 eV per atom. Its space group is No. 10. For the total energy, the calculation gives -40.89 eV per formula unit.

Structure (POSCAR):
```
NbCrS4
1.0
5.7342 0.0000 0.0000
0.0000 3.3877 0.0000
-1.8891 0.0000 6.5588
Nb Cr S
1 1 4
Cartesian
0.0000 0.0000 0.0000 Nb
2.8671 1.6938 0.0000 Cr
1.0138 1.6938 1.5026 S
0.0987 0.0000 5.1234 S
3.7464 0.0000 1.4354 S
2.8313 1.6938 5.0561 S
```



7.
Crystalline LiIn at its relaxed geometry. Source: Alexandria via LeMat-Bulk, functional PBE.

Properties
The calculation puts the energy relative to the elements at -0.20 eV/f.u. Its space group is No. 164. For the total energy, the calculation gives -4.85 eV per formula unit.

Structure (POSCAR):
```
LiIn
1.0
3.3089 0.0000 0.0000
-1.6545 2.8656 0.0000
0.0000 0.0000 9.6577
Li In
2 2
Cartesian
0.0000 1.9104 1.2492 Li
1.6545 0.9552 8.4085 Li
0.0000 1.9104 6.1464 In
1.6545 0.9552 3.5114 In
```



8.
Crystalline Ce2Be3Si4Rh at its relaxed geometry. Source: Alexandria via LeMat-Bulk, functional PBE.

Properties
The uncorrected formation energy is -0.5591 eV per atom. Its space group is No. 115. For the total energy, the calculation gives -57.68 eV per formula unit.

Structure (POSCAR):
```
Ce2Be3Si4Rh
1.0
4.0000 0.0000 0.0000
0.0000 4.0000 0.0000
0.0000 0.0000 9.6312
Ce Be Si Rh
2 3 4 1
Cartesian
0.0000 2.0000 2.3475 Ce
2.0000 0.0000 7.2837 Ce
0.0000 2.0000 8.4158 Be
2.0000 0.0000 1.2154 Be
2.0000 2.0000 4.8156 Be
0.0000 0.0000 0.0000 Si
0.0000 2.0000 6.1318 Si
2.0000 0.0000 3.4994 Si
2.0000 2.0000 0.0000 Si
0.0000 0.0000 4.8156 Rh
```